Record 1
ZrSbSe3 at its PBEsol-relaxed geometry, computed with SCAN.

Energy, eV/atom: -25.9788
Density of states at the Fermi level, states/eV/atom: 0.87
Energy above the most stable polymorph in this dataset, eV per formula unit: 0.00
Space group: No. 221

Lattice parameters (Å, degrees): 5.121 5.121 5.121 90.00 90.00 90.00
Atoms (fractional coordinates):
Sb: 0.500 0.500 0.500
Se: 0.000 0.500 0.000
Se: 0.000 0.000 0.500
Se: 0.500 0.000 0.000
Zr: 0.000 0.000 0.000


Record 2
Zr5Sb3Se at its PBEsol-relaxed geometry, computed with SCAN.

Energy, eV/atom: -32.6604
Density of states at the Fermi level, states/eV/atom: 0.64
Space group: No. 193

Lattice parameters (Å, degrees): 6.064 8.457 8.457 120.00 90.00 90.00
Atoms (fractional coordinates):
Zr: 0.000 0.667 0.333
Se: 0.000 0.000 0.000
Zr: 0.250 0.261 0.261
Zr: 0.500 0.333 0.667
Sb: 0.250 0.000 0.395
Sb: 0.250 0.605 0.605
Zr: 0.250 0.739 0.000
Sb: 0.750 0.605 0.000
Sb: 0.750 0.000 0.605
Sb: 0.750 0.395 0.395
Zr: 0.750 0.261 0.000
Se: 0.500 0.000 0.000
Zr: 0.750 0.739 0.739
Zr: 0.500 0.667 0.333
Sb: 0.250 0.395 0.000
Zr: 0.750 0.000 0.261
Zr: 0.250 0.000 0.739
Zr: 0.000 0.333 0.667


Record 3
ZrSbSe3 at its PBEsol-relaxed geometry, computed with SCAN.

Energy, eV/atom: -25.3039
Density of states at the Fermi level, states/eV/atom: 0.50
Energy above the most stable polymorph in this dataset, eV per formula unit: 3.37
Space group: No. 221

Lattice parameters (Å, degrees): 5.141 5.141 5.141 90.00 90.00 90.00
Atoms (fractional coordinates):
Se: 0.000 0.500 0.000
Sb: 0.000 0.000 0.000
Se: 0.500 0.000 0.000
Se: 0.000 0.000 0.500
Zr: 0.500 0.500 0.500


What is the density of states at the Fermi level in the third record?
0.50 states/eV/atom


The highest energy belongs to which entry?
number 3


The highest energy belongs to which entry?
number 3